CrCdSi2O6: relaxed, PBE+U.

Calculated values
Size of the total moment, μB/atom: 0.400
Calculated total energy, eV per atom: -7.098
Symmetry: No. 15
Crystal system: monoclinic

abc: 5.5169 7.0577 7.0577
angles: 85.27 74.90 74.90
Last column: magnetic moment on the atom in μB.
Fractional positions:
Cr 0.2500 0.2710 0.7290  3.81
Cr 0.7500 0.7290 0.2710  3.81
Cd 0.2500 0.8983 0.1017  0.00
Cd 0.7500 0.1017 0.8983  0.00
Si 0.2991 0.7915 0.6218  0.01
Si 0.2009 0.3782 0.2085  0.01
Si 0.7009 0.2085 0.3782  0.01
Si 0.7991 0.6218 0.7915  0.01
O 0.1813 0.9717 0.7770  0.00
O 0.3187 0.2230 0.0283  0.00
O 0.8187 0.0283 0.2230  0.00
O 0.6813 0.7770 0.9717  0.00
O 0.3682 0.8522 0.3916  0.00
O 0.1318 0.6084 0.1478  0.00
O 0.6318 0.1478 0.6084  0.00
O 0.8682 0.3916 0.8522  0.00
O 0.0913 0.6490 0.6635  0.00
O 0.4087 0.3365 0.3510  0.00
O 0.9087 0.3510 0.3365  0.00
O 0.5913 0.6635 0.6490  0.00